[1]
! Ta2HgTe, relaxed, DFT PBE-GGA; values from VASP
! - Formation energy without anion corrections: 1.59 eV/f.u.
&SYSTEM
  ibrav = 0, nat = 4, ntyp = 3
/
ATOMIC_SPECIES
Hg 200.59 Hg.upf
Te 127.60 Te.upf
Ta 180.95 Ta.upf
ATOMIC_POSITIONS angstrom
Hg -0.773 -0.834 -2.961
Te -2.101 -2.015 -5.727
Ta -0.063 -0.064 -0.201
Ta -2.801 -2.784 -8.532
CELL_PARAMETERS angstrom
-0.867 0.885 -5.252
0.989 -1.912 -4.948
-3.947 -2.772 -1.415

---

[2]
! Pu2BeB2Ir5, relaxed, DFT PBE-GGA; values from VASP
! - Calculated formation energy: -4.03 eV per formula unit
&SYSTEM
  ibrav = 0, nat = 20, ntyp = 4
/
ATOMIC_SPECIES
Pu 244.00 Pu.upf
Ir 192.22 Ir.upf
Be 9.01 Be.upf
B 10.81 B.upf
ATOMIC_POSITIONS angstrom
Pu -1.170 -2.783 -1.905
Ir -5.448 -5.275 -2.025
Be 0.000 0.000 0.000
B 0.760 -1.667 -3.381
Pu -0.757 -6.758 -7.819
Ir -0.529 0.010 -2.543
B -2.687 -7.873 -6.343
Ir -0.771 -3.830 -7.276
Ir 0.992 -0.076 -4.989
Ir -3.174 -3.961 -3.765
Ir -0.970 -2.174 -4.770
Ir -3.416 -7.801 -8.498
B -3.205 -5.012 -1.747
Pu -3.579 -6.866 -3.636
Ir -2.975 -5.616 -6.271
Pu 1.653 -2.674 -6.088
Be -0.963 -4.770 -4.862
Ir 1.503 -2.515 -9.016
B 1.278 -4.528 -7.977
Ir -3.973 -2.945 -1.190
CELL_PARAMETERS angstrom
-2.018 1.749 -1.316
4.002 -1.900 -8.661
-5.928 -7.640 -1.063

---

[3]
! Tb3Y3Ho2, relaxed, DFT PBE-GGA; values from VASP
! - Calculated formation energy: 1.14 eV per formula unit
&SYSTEM
  ibrav = 0, nat = 8, ntyp = 3
/
ATOMIC_SPECIES
Ho 164.93 Ho.upf
Tb 158.93 Tb.upf
Y 88.91 Y.upf
ATOMIC_POSITIONS angstrom
Ho -6.139 -3.765 -0.928
Tb -0.813 -2.695 0.982
Tb -2.671 -3.446 -1.707
Y -6.565 -3.652 3.133
Ho -2.632 -3.014 4.035
Y -3.648 -0.945 0.663
Tb -5.287 -0.638 3.832
Y -2.944 -5.571 0.865
CELL_PARAMETERS angstrom
-6.170 1.847 -0.037
-1.082 -5.851 -2.466
-1.520 -2.775 5.610

---

[4]
! V4ReNi2, relaxed, DFT PBE-GGA; values from VASP
! - Calculated formation energy: 7.24 eV per formula unit
&SYSTEM
  ibrav = 0, nat = 7, ntyp = 3
/
ATOMIC_SPECIES
V 50.94 V.upf
Ni 58.69 Ni.upf
Re 186.21 Re.upf
ATOMIC_POSITIONS angstrom
V 0.445 -0.343 -2.207
V -2.089 -0.859 -0.288
V -2.452 -4.608 -4.478
Ni -1.227 -2.301 -2.240
Re 0.000 0.000 0.000
V -0.423 -4.423 -1.748
Ni -1.648 -6.730 -3.986
CELL_PARAMETERS angstrom
-4.178 -1.717 -0.576
0.890 -0.685 -4.413
0.413 -6.629 -1.237

---

| no. | calculated volume (Å³ per atom) | total magnetization (μB per formula unit) |
| --- | --- | --- |
| 1 | 20.53 | 0.000 |
| 2 | 14.09 | 9.710 |
| 3 | 32.89 | 0.000 |
| 4 | 17.59 | 4.276 |